No. 1
Computed, not measured: a geometry-optimized PmPrCdPb structure at the PBE level of DFT.

Lattice parameters (Å, degrees): 7.775 7.775 7.775 90.00 90.00 90.00
Fractional coordinates of all 16 atoms:
Pm: 0.000 0.000 0.000
Pm: 0.000 0.500 0.500
Pm: 0.500 0.000 0.500
Pm: 0.500 0.500 0.000
Pr: 0.000 0.000 0.500
Pr: 0.000 0.500 0.000
Pr: 0.500 0.000 0.000
Pr: 0.500 0.500 0.500
Cd: 0.250 0.250 0.750
Cd: 0.250 0.750 0.250
Cd: 0.750 0.250 0.250
Cd: 0.750 0.750 0.750
Pb: 0.250 0.250 0.250
Pb: 0.250 0.750 0.750
Pb: 0.750 0.250 0.750
Pb: 0.750 0.750 0.250

## Properties
Magnetization ... 0.00 μB/f.u.
Calculated volume ... 29.4 Å³/atom
D(E_F) ... 3.46 states/eV/f.u.
Energy of formation ... -437 meV per atom
Space group ... F-43m, No. 216


No. 2
Computed, not measured: a geometry-optimized ThTa2SiC4 structure at the PBE level of DFT.

Lattice parameters (Å, degrees): 5.764 5.764 11.119 90.00 90.00 147.15
Fractional coordinates of all 16 atoms:
Th: 0.100 0.900 0.750
Th: 0.900 0.100 0.250
Ta: 0.370 0.630 0.540
Ta: 0.370 0.630 0.960
Ta: 0.630 0.370 0.040
Ta: 0.630 0.370 0.460
Si: 0.167 0.833 0.250
Si: 0.833 0.167 0.750
C: 0.000 0.000 0.000
C: 0.000 0.000 0.500
C: 0.265 0.735 0.116
C: 0.265 0.735 0.384
C: 0.421 0.579 0.750
C: 0.579 0.421 0.250
C: 0.735 0.265 0.616
C: 0.735 0.265 0.884

## Properties
Magnetization ... 0.00 μB/f.u.
Calculated volume ... 12.5 Å³/atom
Formation energy without anion corrections ... -0.303 eV/atom
D(E_F) ... 2.00 states/eV/f.u.
Space group ... Cmcm, No. 63


No. 3
Computed, not measured: a geometry-optimized SmTa4Te8 structure at the PBE level of DFT.

Lattice parameters (Å, degrees): 8.781 8.781 8.781 51.38 51.38 51.38
Fractional coordinates of all 13 atoms:
Sm: 0.000 0.000 0.000
Ta: 0.000 0.000 0.500
Ta: 0.000 0.500 0.000
Ta: 0.500 0.000 0.000
Ta: 0.500 0.500 0.500
Te: 0.245 0.245 0.245
Te: 0.255 0.739 0.739
Te: 0.261 0.261 0.745
Te: 0.261 0.745 0.261
Te: 0.739 0.255 0.739
Te: 0.739 0.739 0.255
Te: 0.745 0.261 0.261
Te: 0.755 0.755 0.755

## Properties
Magnetization ... 0.00 μB/f.u.
Calculated volume ... 29.4 Å³/atom
Formation energy without anion corrections ... -0.349 eV/atom
D(E_F) ... 5.51 states/eV/f.u.
Space group ... R-3m, No. 166


No. 4
Computed, not measured: a geometry-optimized Tb3Y3Si4 structure at the PBE level of DFT.

Lattice parameters (Å, degrees): 4.220 7.523 7.523 89.78 90.00 90.00
Fractional coordinates of all 10 atoms:
Tb: 0.000 0.000 0.000
Tb: 0.500 0.323 0.825
Tb: 0.500 0.825 0.323
Y: 0.000 0.149 0.501
Y: 0.000 0.501 0.149
Y: 0.000 0.648 0.648
Si: 0.500 0.209 0.209
Si: 0.500 0.441 0.441
Si: 0.500 0.708 0.940
Si: 0.500 0.940 0.708

## Properties
Magnetization ... 0.00 μB/f.u.
Calculated volume ... 23.9 Å³/atom
Formation energy without anion corrections ... -0.703 eV/atom
D(E_F) ... 8.95 states/eV/f.u.
Space group ... Amm2, No. 38


No. 5
Computed, not measured: a geometry-optimized Ac2MgInPt structure at the PBE level of DFT.

Lattice parameters (Å, degrees): 8.212 4.743 8.270 90.00 109.98 90.00
Fractional coordinates of all 10 atoms:
Ac: 0.104 0.250 0.334
Ac: 0.289 0.250 0.964
Ac: 0.711 0.750 0.036
Ac: 0.896 0.750 0.666
Mg: 0.441 0.750 0.340
Mg: 0.559 0.250 0.660
In: 0.331 0.750 0.662
In: 0.669 0.250 0.338
Pt: 0.114 0.750 0.092
Pt: 0.886 0.250 0.908

## Properties
Magnetization ... 0.00 μB/f.u.
Calculated volume ... 30.3 Å³/atom
D(E_F) ... 3.64 states/eV/f.u.
Energy of formation ... -675 meV per atom
Space group ... P2_1/m, No. 11


No. 6
Computed, not measured: a geometry-optimized Li2CuF4 structure at the PBE level of DFT.

Lattice parameters (Å, degrees): 4.019 4.019 10.403 90.00 90.00 90.00
Fractional coordinates of all 14 atoms:
Li: 0.000 0.000 0.141
Li: 0.000 0.000 0.859
Li: 0.500 0.500 0.359
Li: 0.500 0.500 0.641
Cu: 0.000 0.000 0.500
Cu: 0.500 0.500 0.000
F: 0.000 0.000 0.313
F: 0.000 0.000 0.687
F: 0.000 0.500 0.000
F: 0.000 0.500 0.500
F: 0.500 0.000 0.000
F: 0.500 0.000 0.500
F: 0.500 0.500 0.187
F: 0.500 0.500 0.813

## Properties
Energy above the most stable polymorph in this dataset ... 122 kJ/mol of formula units
Magnetization ... 1.00 μB/f.u.
Calculated volume ... 12.0 Å³/atom
Formation energy without anion corrections ... -2.161 eV/atom
D(E_F) ... 0.22 states/eV/f.u.
Space group ... I4/mmm, No. 139